GGA-PBE MgCr2P, relaxed; calculated formation energy = 0.355 eV per atom; excess energy over the best structure of this formula in the dataset = 346.9 meV/atom; symmetry = C2/m, No. 12; Fermi-level density of states = 0.92 states/eV per atom
1.0
2.586 -4.062 0.000
2.586 4.062 0.000
-0.908 0.000 2.450
Mg Cr P
1 2 1
Cartesian
0.000 0.000 0.000 Mg
0.839 2.031 1.225 Cr
0.839 -2.031 1.225 Cr
2.586 0.000 0.000 P

GGA-PBE MgCr2P, relaxed; calculated formation energy = 0.359 eV per atom; excess energy over the best structure of this formula in the dataset = 350.7 meV/atom; symmetry = I-42d, No. 122; Fermi-level density of states = 1.27 states/eV per atom
1.0
-1.827 1.827 8.811
1.827 -1.827 8.811
1.827 1.827 -8.811
Mg Cr P
2 4 2
Cartesian
0.000 0.000 0.000 Mg
0.000 1.827 4.406 Mg
0.914 -0.618 6.608 Cr
1.210 0.914 2.203 Cr
0.914 2.445 -2.203 Cr
0.618 0.914 11.014 Cr
1.827 0.000 4.406 P
0.000 0.000 8.811 P

GGA-PBE MgCr2P, relaxed; calculated formation energy = 0.233 eV per atom; excess energy over the best structure of this formula in the dataset = 225.4 meV/atom; symmetry = Cmm2, No. 35; Fermi-level density of states = 0.92 states/eV per atom
1.0
1.565 -2.229 0.000
1.565 2.229 0.000
0.000 0.000 7.999
Mg Cr P
1 2 1
Cartesian
0.000 0.000 0.000 Mg
0.000 0.000 3.946 Cr
1.565 0.000 2.229 Cr
1.565 0.000 5.693 P

GGA-PBE MgCrP2, relaxed; calculated formation energy = 0.023 eV per atom; excess energy over the best structure of this formula in the dataset = 310.4 meV/atom; symmetry = P4/mmm, No. 123; Fermi-level density of states = 0.62 states/eV per atom
1.0
4.237 0.000 0.000
0.000 4.237 0.000
0.000 0.000 3.397
Mg Cr P
1 1 2
Cartesian
0.000 0.000 0.000 Mg
2.118 2.118 0.000 Cr
0.000 2.118 1.699 P
2.118 0.000 1.699 P

GGA-PBE MgCr2P, relaxed; calculated formation energy = 0.107 eV per atom; excess energy over the best structure of this formula in the dataset = 99.0 meV/atom; symmetry = Cm, No. 8; Fermi-level density of states = 0.68 states/eV per atom
1.0
3.868 -1.497 0.000
3.868 1.497 0.000
-0.895 0.000 5.308
Mg Cr P
1 2 1
Cartesian
0.000 0.000 0.000 Mg
3.466 0.000 2.685 Cr
5.624 0.000 1.861 Cr
1.251 0.000 3.655 P

GGA-PBE MgCr2P, relaxed; calculated formation energy = 0.018 eV per atom; excess energy over the best structure of this formula in the dataset = 10.1 meV/atom; symmetry = P4/mmm, No. 123; Fermi-level density of states = 0.77 states/eV per atom
1.0
3.056 0.000 0.000
0.000 3.056 0.000
0.000 0.000 5.842
Mg Cr P
1 2 1
Cartesian
0.000 0.000 0.000 Mg
1.528 1.528 1.847 Cr
1.528 1.528 3.995 Cr
0.000 0.000 2.921 P

GGA-PBE MgCrP2, relaxed; calculated formation energy = -0.046 eV per atom; excess energy over the best structure of this formula in the dataset = 241.0 meV/atom; symmetry = Immm, No. 71; Fermi-level density of states = 0.42 states/eV per atom
1.0
-1.882 2.480 3.373
1.882 -2.480 3.373
1.882 2.480 -3.373
Mg Cr P
1 1 2
Cartesian
0.000 0.000 0.000 Mg
0.000 0.000 3.373 Cr
1.882 0.000 1.848 P
0.000 2.480 1.524 P

GGA-PBE MgCr2P, relaxed; calculated formation energy = 0.162 eV per atom; excess energy over the best structure of this formula in the dataset = 154.0 meV/atom; symmetry = F-43m, No. 216; Fermi-level density of states = 0.62 states/eV per atom
1.0
0.000 3.010 3.010
3.010 0.000 3.010
3.010 3.010 0.000
Mg Cr P
1 2 1
Cartesian
0.000 0.000 0.000 Mg
1.505 1.505 1.505 Cr
3.010 3.010 3.010 Cr
4.515 4.515 4.515 P

GGA-PBE MgCrP2, relaxed; calculated formation energy = -0.217 eV per atom; excess energy over the best structure of this formula in the dataset = 70.5 meV/atom; symmetry = C2/m, No. 12; Fermi-level density of states = 0.59 states/eV per atom
1.0
3.703 -1.590 0.000
3.703 1.590 0.000
-1.345 0.000 4.993
Mg Cr P
1 1 2
Cartesian
0.000 0.000 0.000 Mg
3.030 0.000 2.497 Cr
0.832 0.000 3.368 P
5.229 0.000 1.626 P

GGA-PBE MgCrP2, relaxed; calculated formation energy = 0.212 eV per atom; excess energy over the best structure of this formula in the dataset = 499.2 meV/atom; symmetry = R3m, No. 160; Fermi-level density of states = 0.67 states/eV per atom
1.0
1.491 0.861 7.664
-1.491 0.861 7.664
0.000 -1.721 7.664
Mg Cr P
1 1 2
Cartesian
0.000 0.000 0.000 Mg
0.000 0.000 17.546 Cr
0.000 0.000 5.508 P
0.000 0.000 11.396 P

GGA-PBE MgCr2P, relaxed; calculated formation energy = 0.263 eV per atom; excess energy over the best structure of this formula in the dataset = 255.0 meV/atom; symmetry = I4/mmm, No. 139; Fermi-level density of states = 1.37 states/eV per atom
1.0
-1.870 1.870 3.804
1.870 -1.870 3.804
1.870 1.870 -3.804
Mg Cr P
1 2 1
Cartesian
0.000 0.000 0.000 Mg
1.870 0.000 1.902 Cr
0.000 1.870 1.902 Cr
0.000 0.000 3.804 P

GGA-PBE MgCr2P, relaxed; calculated formation energy = 0.241 eV per atom; excess energy over the best structure of this formula in the dataset = 232.9 meV/atom; symmetry = P4/mmm, No. 123; Fermi-level density of states = 1.43 states/eV per atom
1.0
3.730 0.000 0.000
0.000 3.730 0.000
0.000 0.000 3.766
Mg Cr P
1 2 1
Cartesian
0.000 0.000 0.000 Mg
0.000 1.865 1.883 Cr
1.865 0.000 1.883 Cr
1.865 1.865 0.000 P